# 1
First-principles (GGA-PBE) data for SbPd2Pb2 after structural relaxation, as listed in the Alexandria database.

Structure (POSCAR):
```
SbPd2Pb2
1.0
7.331 0.000 0.000
0.000 7.331 0.000
0.000 0.000 4.292
Pd Sb Pb
4 2 4
Direct
0.641 0.141 0.000
0.141 0.359 0.000
0.359 0.859 0.000
0.859 0.641 0.000
0.500 0.500 0.000
0.000 0.000 0.000
0.662 0.838 0.500
0.162 0.662 0.500
0.838 0.338 0.500
0.338 0.162 0.500
```

Calculated values
calculated volume = 23.1 A^3/atom
formation energy (no corrections) = -187 meV per atom
total magnetic moment = 0.000 μB/cell
space-group type = P4/mbm (127)
E = -45.72 eV for the cell shown



# 2
First-principles (GGA-PBE) data for Pr3NdTl3 after structural relaxation, as listed in the Alexandria database.

Structure (POSCAR):
```
Pr3NdTl3
1.0
-4.114 8.739 0.673
-1.449 0.055 -9.573
-8.644 -4.168 1.284
Pr Nd Tl
12 4 12
Direct
0.427 0.573 0.073
0.927 0.927 0.927
0.176 0.824 0.324
0.176 0.176 0.176
0.676 0.676 0.676
0.676 0.324 0.824
0.324 0.176 0.824
0.824 0.324 0.176
0.824 0.676 0.324
0.324 0.824 0.676
0.573 0.073 0.427
0.073 0.427 0.573
0.074 0.574 0.926
0.426 0.426 0.426
0.926 0.074 0.574
0.574 0.926 0.074
0.500 0.749 0.373
0.373 0.500 0.749
0.751 0.627 0.000
0.127 0.500 0.249
0.627 0.000 0.751
0.749 0.373 0.500
0.249 0.127 0.500
0.873 0.000 0.251
0.500 0.249 0.127
0.000 0.251 0.873
0.000 0.751 0.627
0.251 0.873 0.000
```

Calculated values
calculated volume = 32.4 A^3/atom
total magnetic moment = 0.000 μB/cell
space-group type = P2_13 (198)
E_form = -197 kJ/mol of formula units
E = -112.98 eV for the cell shown



# 3
First-principles (GGA-PBE) data for Nb2Te2Pt after structural relaxation, as listed in the Alexandria database.

Structure (POSCAR):
```
Nb2Te2Pt
1.0
-5.598 5.116 1.607
-5.013 -5.818 1.055
0.828 -0.121 3.269
Nb Pt Te
4 2 4
Direct
0.355 0.145 0.500
0.145 0.645 0.500
0.855 0.355 0.500
0.645 0.855 0.500
0.500 0.500 0.000
0.000 0.000 0.000
0.847 0.653 0.000
0.153 0.347 0.000
0.653 0.153 0.000
0.347 0.847 0.000
```

Calculated values
calculated volume = 20.3 A^3/atom
formation energy (no corrections) = 148 meV per atom
total magnetic moment = 0.000 μB/cell
space-group type = P4/mbm (127)
E = -63.45 eV for the cell shown



# 4
First-principles (GGA-PBE) data for Zn2HgIr after structural relaxation, as listed in the Alexandria database.

Structure (POSCAR):
```
Zn2HgIr
1.0
-4.634 -2.171 0.870
-3.000 -2.331 3.537
-2.804 2.944 1.895
Ir Hg Zn
1 1 2
Direct
0.259 0.259 0.171
0.506 0.506 0.553
0.748 0.748 0.700
0.986 0.986 0.076
```

Calculated values
calculated volume = 16.1 A^3/atom
total magnetic moment = 0.000 μB/cell
space-group type = Cm (8)
E_form = 23 kJ/mol of formula units
E = -11.48 eV for the cell shown